Zr2CuBi: relaxed, GGA-PBE.

- VASP energy: -0.43166 Ry per atom
- Size of the total moment: 1.279 μB/cell

a b c (Å): 4.970 4.970 4.970
angles (deg): 60.00 60.00 60.00
Sites, in units of the cell vectors:
1 Zr 0.000 0.000 0.000
2 Zr 0.250 0.250 0.250
3 Cu 0.750 0.750 0.750
4 Bi 0.500 0.500 0.500

=====

Zr6CuBi2: relaxed, GGA-PBE.

- VASP energy: -0.53724 Ry per atom
- Size of the total moment: 0.009 μB/cell

a b c (Å): 7.850 7.850 3.808
angles (deg): 90.00 90.00 120.00
Sites, in units of the cell vectors:
1 Zr 0.000 0.238 0.000
2 Zr 0.000 0.605 0.500
3 Zr 0.238 0.000 0.000
4 Zr 0.395 0.395 0.500
5 Zr 0.605 0.000 0.500
6 Zr 0.762 0.762 0.000
7 Cu 0.000 0.000 0.500
8 Bi 0.333 0.667 0.000
9 Bi 0.667 0.333 0.000